No. 1
{
  "formula": "K2Nb2Ni3",
  "functional": "PBE-GGA",
  "state": "optimized geometry",
  "cell": [[-8.863, 5.873, 5.873], [-5.873, 5.873, 8.863], [-5.873, 8.863, 5.873]],
  "species": ["Ni", "Ni", "Ni", "Nb", "Nb", "K", "K"],
  "frac_coords": [[0.290, 0.290, 0.290], [0.662, 0.662, 0.662], [0.916, 0.916, 0.916], [0.594, 0.594, 0.594], [0.986, 0.986, 0.986], [0.181, 0.181, 0.181], [0.746, 0.746, 0.746]],
  "space_group": "R3m, No. 160",
  "rho_g_cm3": 3.97,
  "final_energy_ev_per_atom": -5.331
}



No. 2
{
  "formula": "KNbNiS3",
  "functional": "PBE-GGA",
  "state": "optimized geometry",
  "cell": [[8.068, 0.000, 0.000], [0.000, 3.552, 0.000], [-3.956, 0.000, 8.628]],
  "species": ["S", "S", "S", "S", "S", "S", "Ni", "Ni", "Nb", "Nb", "K", "K"],
  "frac_coords": [[0.958, 0.250, 0.628], [0.592, 0.750, 0.346], [0.274, 0.750, 0.946], [0.726, 0.250, 0.054], [0.408, 0.250, 0.654], [0.042, 0.750, 0.372], [0.412, 0.250, 0.893], [0.588, 0.750, 0.107], [0.795, 0.250, 0.326], [0.205, 0.750, 0.674], [0.764, 0.750, 0.782], [0.236, 0.250, 0.218]],
  "space_group": "P2_1/m, No. 11",
  "rho_g_cm3": 3.85,
  "final_energy_ev_per_atom": -5.860
}



No. 3
{
  "formula": "KNbNiTe3",
  "functional": "PBE-GGA",
  "state": "optimized geometry",
  "cell": [[3.498, -0.521, 7.883], [-5.874, 2.590, -5.783], [-5.651, -8.467, 1.948]],
  "species": ["Te", "Te", "Te", "Te", "Te", "Te", "Ni", "Ni", "Nb", "Nb", "K", "K"],
  "frac_coords": [[0.881, 0.119, 0.062], [0.119, 0.881, 0.562], [0.426, 0.574, 0.750], [0.119, 0.881, 0.938], [0.574, 0.426, 0.250], [0.881, 0.119, 0.438], [0.026, 0.974, 0.750], [0.974, 0.026, 0.250], [0.500, 0.500, 0.000], [0.500, 0.500, 0.500], [0.750, 0.250, 0.750], [0.250, 0.750, 0.250]],
  "space_group": "Cmcm, No. 63",
  "rho_g_cm3": 5.76,
  "de_polymorph_kcal_per_mol_atoms": 1.005,
  "final_energy_ev_per_atom": -4.884
}



No. 4
{
  "formula": "K2Nb2O5",
  "functional": "PBE-GGA",
  "state": "optimized geometry",
  "cell": [[10.857, 0.000, 0.000], [0.000, 3.414, 0.000], [0.000, 0.000, 3.414]],
  "species": ["O", "O", "O", "O", "O", "K", "K", "Nb", "Nb"],
  "frac_coords": [[0.111, 0.500, 0.000], [0.889, 0.500, 0.000], [0.111, 0.000, 0.500], [0.889, 0.000, 0.500], [0.500, 0.500, 0.500], [0.732, 0.500, 0.500], [0.268, 0.500, 0.500], [0.000, 0.000, 0.000], [0.500, 0.000, 0.000]],
  "space_group": "P4/mmm, No. 123",
  "rho_g_cm3": 4.51,
  "final_energy_ev_per_atom": -6.296
}



No. 5
{
  "formula": "K4Nb2O5",
  "functional": "PBE-GGA",
  "state": "optimized geometry",
  "cell": [[-4.895, -3.416, 1.159], [0.781, -4.001, 4.512], [-2.046, 5.914, 4.497]],
  "species": ["O", "O", "O", "O", "O", "K", "K", "K", "K", "Nb", "Nb"],
  "frac_coords": [[0.125, 0.583, 0.180], [0.568, 0.568, 0.433], [0.837, 0.372, 0.814], [0.372, 0.837, 0.814], [0.583, 0.125, 0.180], [0.309, 0.309, 0.848], [0.999, 0.999, 0.520], [0.673, 0.673, 0.139], [0.987, 0.987, 0.004], [0.617, 0.617, 0.685], [0.388, 0.388, 0.313]],
  "space_group": "Cm, No. 8",
  "rho_g_cm3": 2.72,
  "final_energy_ev_per_atom": -6.207
}



No. 6
{
  "formula": "KNb2O4",
  "functional": "PBE-GGA",
  "state": "optimized geometry",
  "cell": [[4.658, -4.659, 0.000], [-4.658, 0.000, -4.659], [4.658, 4.659, 0.000]],
  "species": ["Nb", "Nb", "Nb", "Nb", "K", "K", "O", "O", "O", "O", "O", "O", "O", "O"],
  "frac_coords": [[0.375, 0.750, 0.125], [0.875, 0.250, 0.625], [0.375, 0.250, 0.625], [0.375, 0.750, 0.625], [0.750, 0.500, 0.250], [0.000, 0.000, 0.000], [0.601, 0.202, 0.803], [0.197, 0.798, 0.399], [0.553, 0.702, 0.851], [0.149, 0.298, 0.447], [0.149, 0.702, 0.851], [0.601, 0.202, 0.399], [0.149, 0.298, 0.851], [0.601, 0.798, 0.399]],
  "space_group": "Fd-3m, No. 227",
  "rho_g_cm3": 4.74,
  "final_energy_ev_per_atom": -7.846
}



No. 7
{
  "formula": "K3Nb2O7",
  "functional": "PBE-GGA",
  "state": "optimized geometry",
  "cell": [[-2.015, 2.015, 10.813], [2.015, -2.015, 10.813], [2.015, 2.015, -10.813]],
  "species": ["K", "K", "K", "O", "O", "O", "O", "O", "O", "O", "Nb", "Nb"],
  "frac_coords": [[0.308, 0.308, 0.000], [0.692, 0.692, 0.000], [0.500, 0.500, 0.000], [0.907, 0.407, 0.500], [0.593, 0.093, 0.500], [0.407, 0.907, 0.500], [0.815, 0.815, 0.000], [0.185, 0.185, 0.000], [0.000, 0.000, 0.000], [0.093, 0.593, 0.500], [0.099, 0.099, 0.000], [0.901, 0.901, 0.000]],
  "space_group": "I4/mmm, No. 139",
  "rho_g_cm3": 3.93,
  "final_energy_ev_per_atom": -7.034
}



No. 8
{
  "formula": "K3NbO4",
  "functional": "PBE-GGA",
  "state": "optimized geometry",
  "cell": [[-4.502, -3.319, -5.718], [-0.672, -5.716, 3.847], [-5.099, 2.374, 2.637]],
  "species": ["K", "K", "K", "K", "K", "K", "O", "O", "O", "O", "O", "O", "O", "O", "Nb", "Nb"],
  "frac_coords": [[0.757, 0.675, 0.012], [0.500, 0.154, 0.014], [0.743, 0.325, 0.512], [0.243, 0.675, 0.012], [0.257, 0.325, 0.512], [0.000, 0.846, 0.514], [0.195, 0.306, 0.094], [0.000, 0.919, 0.093], [0.500, 0.819, 0.198], [0.695, 0.694, 0.594], [0.500, 0.081, 0.593], [0.305, 0.694, 0.594], [0.000, 0.181, 0.698], [0.805, 0.306, 0.094], [0.000, 0.178, 0.999], [0.500, 0.822, 0.499]],
  "space_group": "Pmn2_1, No. 31",
  "rho_g_cm3": 2.65,
  "final_energy_ev_per_atom": -6.318
}



No. 9
{
  "formula": "K3NbO4",
  "functional": "PBE-GGA",
  "state": "optimized geometry",
  "cell": [[-3.312, 3.312, 3.312], [3.312, -3.312, 3.312], [3.312, 3.312, -3.312]],
  "species": ["K", "K", "K", "O", "O", "O", "O", "Nb"],
  "frac_coords": [[0.500, 0.500, 0.000], [0.000, 0.500, 0.500], [0.500, 0.000, 0.500], [0.671, 0.671, 0.671], [0.000, 0.000, 0.329], [0.000, 0.329, 0.000], [0.329, 0.000, 0.000], [0.000, 0.000, 0.000]],
  "space_group": "I-43m, No. 217",
  "rho_g_cm3": 3.13,
  "final_energy_ev_per_atom": -6.222
}



No. 10
{
  "formula": "K2Nb2O5",
  "functional": "PBE-GGA",
  "state": "optimized geometry",
  "cell": [[-5.449, -2.596, -5.349], [2.918, -0.481, -2.739], [0.559, -3.759, 1.255]],
  "species": ["Nb", "Nb", "O", "O", "O", "O", "O", "K", "K"],
  "frac_coords": [[0.250, 0.500, 0.575], [0.750, 0.500, 0.580], [0.750, 0.000, 0.579], [0.006, 0.500, 0.579], [0.250, 0.000, 0.576], [0.494, 0.500, 0.579], [0.750, 0.500, 0.080], [0.994, 0.000, 0.076], [0.506, 0.000, 0.076]],
  "space_group": "Pmm2, No. 25",
  "rho_g_cm3": 4.39,
  "final_energy_ev_per_atom": -7.410
}



No. 11
{
  "formula": "KNbPO",
  "functional": "PBE-GGA",
  "state": "optimized geometry",
  "cell": [[-1.435, -1.747, -2.843], [1.111, -3.169, 1.387], [-8.434, -0.861, 4.787]],
  "species": ["O", "O", "P", "P", "K", "K", "Nb", "Nb"],
  "frac_coords": [[0.250, 0.750, 0.000], [0.750, 0.250, 0.000], [0.750, 0.750, 0.249], [0.250, 0.250, 0.751], [0.250, 0.750, 0.500], [0.750, 0.250, 0.500], [0.750, 0.750, 0.874], [0.250, 0.250, 0.126]],
  "space_group": "P4/nmm, No. 129",
  "rho_g_cm3": 4.63,
  "de_polymorph_kcal_per_mol_atoms": 11.926,
  "final_energy_ev_per_atom": -5.985
}



No. 12
{
  "formula": "KNbPO",
  "functional": "PBE-GGA",
  "state": "optimized geometry",
  "cell": [[2.953, -2.953, 0.000], [2.953, 2.953, 0.000], [0.000, 0.000, 10.642]],
  "species": ["Nb", "Nb", "K", "K", "P", "P", "O", "O"],
  "frac_coords": [[0.250, 0.750, 0.500], [0.750, 0.250, 0.500], [0.250, 0.250, 0.143], [0.750, 0.750, 0.857], [0.250, 0.250, 0.627], [0.750, 0.750, 0.373], [0.250, 0.750, 0.000], [0.750, 0.250, 0.000]],
  "space_group": "P4/nmm, No. 129",
  "rho_g_cm3": 3.20,
  "de_polymorph_kcal_per_mol_atoms": 19.922,
  "final_energy_ev_per_atom": -5.638
}



Number 1: M_tot 0.002 μB/atom. Number 2: M_tot 0.001 μB/atom. Number 3: M_tot 0.001 μB/atom. Number 4: M_tot 0.445 μB/atom. Number 5: M_tot 0.000 μB/atom. Number 6: M_tot 0.142 μB/atom. Number 7: M_tot 0.083 μB/atom. Number 8: M_tot 0.000 μB/atom. Number 9: M_tot 0.000 μB/atom. Number 10: M_tot 0.018 μB/atom. Number 11: M_tot 0.227 μB/atom. Number 12: M_tot 0.003 μB/atom.